{"formula": "CsCd2I2", "functional": "PBE-GGA", "state": "optimized geometry", "lattice_angstrom": [[-4.9025, -1.4882, 3.6179], [1.7764, -6.0148, -0.0671], [1.4233, -2.9185, 6.1648]], "species": ["Cs", "I", "I", "Cd", "Cd"], "fractional_positions": [[0.0000, 0.0000, 0.0000], [0.7500, 0.2500, 0.5000], [0.2500, 0.7500, 0.5000], [0.3671, 0.3671, 0.2658], [0.6329, 0.6329, 0.7342]], "vol_a3_per_atom": 42.280, "final_energy_ev_per_atom": -1.75, "dos_at_fermi_per_ev_cell": 1.87, "space_group": "I4/mmm", "raw_formation_energy_ev_per_fu": -3.0}